1.
VASP calculation (PBE) on a relaxed structure of La6Sb5Se.

Cell and atoms, written as POSCAR:
```
La6Sb5Se
1.0
-5.1630 -5.9630 0.8371
2.6601 -6.3680 -3.9082
4.6441 -5.2616 3.6869
Sb Se La
5 1 6
Direct
0.5000 0.1686 0.6628
0.0000 0.3336 0.3328
0.5000 0.5000 0.0000
0.0000 0.6664 0.6672
0.5000 0.8314 0.3372
0.0000 0.0000 0.0000
0.7528 0.0823 0.3287
0.2472 0.5890 0.3287
0.2491 0.2457 0.0000
0.7509 0.7543 0.0000
0.7528 0.4110 0.6713
0.2472 0.9177 0.6713
```

For the electronic total energy, the calculation gives -5.883 eV/atom. The crystal system is monoclinic.


2.
VASP calculation (PBE) on a relaxed structure of Y6Te3P2Pb.

Cell and atoms, written as POSCAR:
```
Y6Te3P2Pb
1.0
4.2087 0.0000 0.0000
0.0000 8.6698 0.2385
-2.1043 -2.5687 9.0021
Y Te P Pb
6 3 2 1
Direct
0.3311 0.8821 0.6622
0.6769 0.5645 0.3537
0.6689 0.1179 0.3378
0.0135 0.2548 0.0271
0.9865 0.7452 0.9729
0.3231 0.4355 0.6463
0.5000 0.5000 0.0000
0.8371 0.1671 0.6742
0.1629 0.8329 0.3258
0.8306 0.6608 0.6613
0.1694 0.3392 0.3387
0.5000 0.0000 0.0000
```

For the electronic total energy, the calculation gives -6.575 eV/atom. The crystal system is monoclinic.


3.
VASP calculation (PBE) on a relaxed structure of MgRe2Os.

Cell and atoms, written as POSCAR:
```
MgRe2Os
1.0
-0.9787 1.8274 -2.2322
-2.5616 -3.1918 -1.4900
-3.3529 1.4504 2.6574
Mg Os Re
1 1 2
Direct
0.5000 0.0000 0.5000
0.0000 0.5000 0.5000
0.0000 0.0000 0.0000
0.5000 0.5000 0.0000
```

For the electronic total energy, the calculation gives -9.129 eV/atom. The crystal system is orthorhombic.


4.
VASP calculation (PBE) on a relaxed structure of Ta2Ti5Fe2Os.

Cell and atoms, written as POSCAR:
```
Ta2Ti5Fe2Os
1.0
-1.1803 2.7285 -0.6272
-2.7705 -3.3103 -9.1867
-8.9334 -2.9967 3.7739
Ta Ti Fe Os
4 10 4 2
Direct
0.0000 0.6804 0.1804
0.0000 0.3196 0.8196
0.0000 0.1804 0.3196
0.0000 0.8196 0.6804
0.5000 0.2034 0.0558
0.5000 0.7966 0.9442
0.5000 0.0558 0.7966
0.5000 0.7034 0.4442
0.5000 0.9442 0.2034
0.5000 0.2966 0.5558
0.5000 0.5558 0.7034
0.5000 0.4442 0.2966
0.5000 0.5000 0.0000
0.5000 0.0000 0.5000
0.0000 0.1291 0.6291
0.0000 0.8709 0.3709
0.0000 0.6291 0.8709
0.0000 0.3709 0.1291
0.0000 0.0000 0.0000
0.0000 0.5000 0.5000
```

For the electronic total energy, the calculation gives -9.312 eV/atom. The crystal system is tetragonal.


5.
VASP calculation (PBE) on a relaxed structure of Tm3Ru2.

Cell and atoms, written as POSCAR:
```
Tm3Ru2
1.0
-4.4968 -0.0303 -1.5817
3.8698 -5.1412 -3.7200
-2.3698 -6.9194 6.8704
Tm Ru
9 6
Direct
0.8314 0.6628 0.0041
0.1686 0.3372 0.9959
0.8366 0.6732 0.3336
0.1634 0.3268 0.6664
0.1680 0.3361 0.3312
0.8320 0.6639 0.6688
0.4988 0.9977 0.3353
0.5012 0.0023 0.6647
0.5000 0.0000 0.0000
0.6696 0.3392 0.4963
0.3304 0.6608 0.5037
0.6642 0.3284 0.1691
0.3358 0.6716 0.8309
0.0034 0.0068 0.1636
0.9966 0.9932 0.8364
```

For the electronic total energy, the calculation gives -6.717 eV/atom. As for the energy above the most stable polymorph in this dataset: 0.030 eV/f.u. The crystal system is monoclinic.


6.
VASP calculation (PBE) on a relaxed structure of Cs2IO6.

Cell and atoms, written as POSCAR:
```
Cs2IO6
1.0
3.8266 0.0000 0.5911
0.0000 7.2525 0.0000
-0.5329 -3.6262 5.8606
Cs I O
2 1 6
Direct
0.5371 0.6765 0.3529
0.4629 0.3235 0.6471
0.0000 0.0000 0.0000
0.0560 0.2953 0.2340
0.9440 0.0613 0.7660
0.9440 0.7047 0.7660
0.5000 0.1685 0.0000
0.0560 0.9387 0.2340
0.5000 0.8315 0.0000
```

For the electronic total energy, the calculation gives -3.913 eV/atom. The crystal system is monoclinic.


7.
VASP calculation (PBE) on a relaxed structure of Sr2MnAs3Pd4.

Cell and atoms, written as POSCAR:
```
Sr2MnAs3Pd4
1.0
-3.9120 -1.9255 -0.2989
1.9468 -3.8910 -0.4133
-0.2034 -1.2175 10.5036
Sr Mn As Pd
2 1 3 4
Direct
0.5000 0.0000 0.2439
0.0000 0.5000 0.7561
0.5000 0.5000 0.5000
0.0000 0.0000 0.5000
0.5000 0.0000 0.8694
0.0000 0.5000 0.1306
0.5000 0.5000 0.0000
0.0000 0.0000 0.0000
0.5000 0.0000 0.6326
0.0000 0.5000 0.3674
```

For the electronic total energy, the calculation gives -5.395 eV/atom. The crystal system is tetragonal.


8.
VASP calculation (PBE) on a relaxed structure of InC3F.

Cell and atoms, written as POSCAR:
```
InC3F
1.0
3.8835 0.0000 0.0000
0.0000 3.8835 0.0000
0.0000 0.0000 3.8835
C F In
3 1 1
Direct
0.0000 0.5000 0.0000
0.0000 0.0000 0.5000
0.5000 0.0000 0.0000
0.0000 0.0000 0.0000
0.5000 0.5000 0.5000
```

For the electronic total energy, the calculation gives -3.511 eV/atom. As for the energy above the most stable polymorph in this dataset: 0.000 eV/f.u. The crystal system is cubic.


9.
VASP calculation (PBE) on a relaxed structure of SrICl4.

Cell and atoms, written as POSCAR:
```
SrICl4
1.0
7.9164 -0.3954 0.0000
-1.5730 7.1916 0.0000
-3.1717 -3.3981 6.9373
Sr I Cl
2 2 8
Direct
0.3421 0.5921 0.1842
0.6579 0.4079 0.8158
0.0801 0.8301 0.6601
0.9199 0.1699 0.3399
0.9365 0.2534 0.9999
0.5633 0.7465 0.9999
0.2886 0.3828 0.4546
0.7114 0.6172 0.5454
0.3340 0.9282 0.5454
0.4367 0.2535 0.0001
0.6660 0.0718 0.4546
0.0635 0.7466 0.0001
```

For the electronic total energy, the calculation gives -2.924 eV/atom. The crystal system is monoclinic.


10.
VASP calculation (PBE) on a relaxed structure of Zr2InNi.

Cell and atoms, written as POSCAR:
```
Zr2InNi
1.0
-1.4365 4.8745 1.1603
0.2814 0.6967 5.1581
3.4395 -1.8758 -3.4382
In Ni Zr
1 1 2
Direct
0.2500 0.7500 0.5000
0.7500 0.2500 0.5000
0.0000 0.0000 0.0000
0.5000 0.5000 0.0000
```

For the electronic total energy, the calculation gives -6.600 eV/atom. The crystal system is tetragonal.


11.
VASP calculation (PBE) on a relaxed structure of ZrSc2Cd2.

Cell and atoms, written as POSCAR:
```
ZrSc2Cd2
1.0
8.2196 0.0000 0.0000
0.0000 8.2196 0.0000
0.0000 0.0000 3.3847
Sc Zr Cd
4 2 4
Direct
0.1731 0.6731 0.5000
0.6731 0.8269 0.5000
0.8269 0.3269 0.5000
0.3269 0.1731 0.5000
0.0000 0.0000 0.0000
0.5000 0.5000 0.0000
0.3728 0.8728 0.0000
0.8728 0.6272 0.0000
0.6272 0.1272 0.0000
0.1272 0.3728 0.0000
```

For the electronic total energy, the calculation gives -4.684 eV/atom. As for the energy above the most stable polymorph in this dataset: 0.328 eV/f.u. The crystal system is tetragonal.


12.
VASP calculation (PBE) on a relaxed structure of Ba2TiNiP.

Cell and atoms, written as POSCAR:
```
Ba2TiNiP
1.0
6.3014 0.0000 0.0000
0.0000 4.1467 0.0000
0.0000 0.0000 6.3014
Ni Ba P Ti
1 2 1 1
Direct
0.0000 0.5000 0.0000
0.0000 0.0000 0.5000
0.5000 0.0000 0.0000
0.0000 0.0000 0.0000
0.5000 0.5000 0.5000
```

For the electronic total energy, the calculation gives -4.336 eV/atom. The crystal system is tetragonal.


13.
VASP calculation (PBE) on a relaxed structure of PaMnGaTc.

Cell and atoms, written as POSCAR:
```
PaMnGaTc
1.0
4.5496 0.0000 0.0000
2.2748 3.9401 0.0000
2.2748 1.3134 3.7148
Mn Pa Tc Ga
1 1 1 1
Direct
0.0000 0.0000 0.0000
0.7500 0.7500 0.7500
0.5000 0.5000 0.5000
0.2500 0.2500 0.2500
```

For the electronic total energy, the calculation gives -8.195 eV/atom. The crystal system is cubic.


14.
VASP calculation (PBE) on a relaxed structure of NaCdO3.

Cell and atoms, written as POSCAR:
```
NaCdO3
1.0
-2.2674 3.4634 -0.3012
-3.1570 -1.9007 1.9100
1.4559 1.2724 3.6726
Na O Cd
1 3 1
Direct
0.5000 0.5000 0.5000
0.0000 0.5000 0.0000
0.0000 0.0000 0.5000
0.5000 0.0000 0.0000
0.0000 0.0000 0.0000
```

For the electronic total energy, the calculation gives -3.603 eV/atom. The crystal system is cubic.


15.
VASP calculation (PBE) on a relaxed structure of Tb3TeSe3.

Cell and atoms, written as POSCAR:
```
Tb3TeSe3
1.0
8.8442 0.0000 0.0000
4.4221 7.6593 0.0000
4.4221 2.5531 5.7790
Tb Te Se
6 2 6
Direct
0.2834 0.5531 0.2415
0.9220 0.2834 0.2415
0.5531 0.9220 0.2415
0.4469 0.0780 0.7585
0.0780 0.7166 0.7585
0.7166 0.4469 0.7585
0.3316 0.3316 0.0053
0.6684 0.6684 0.9947
0.3693 0.8040 0.7306
0.8040 0.0961 0.7306
0.0961 0.3693 0.7306
0.9039 0.6307 0.2694
0.1960 0.9039 0.2694
0.6307 0.1960 0.2694
```

For the electronic total energy, the calculation gives -5.591 eV/atom. As for the energy above the most stable polymorph in this dataset: 0.400 eV/f.u. The crystal system is trigonal.


16.
VASP calculation (PBE) on a relaxed structure of Nd4Dy2Er3.

Cell and atoms, written as POSCAR:
```
Nd4Dy2Er3
1.0
-0.2266 2.7962 -4.2478
-1.2875 -3.2568 -5.1199
-10.7057 -1.2284 -0.2386
Nd Dy Er
4 2 3
Direct
0.6664 0.6674 0.8883
0.0012 0.9975 0.3334
0.9988 0.0025 0.6666
0.3336 0.3326 0.1117
0.3318 0.3363 0.7756
0.6682 0.6637 0.2244
0.3339 0.3322 0.4462
0.0000 0.0000 0.0000
0.6661 0.6678 0.5538
```

For the electronic total energy, the calculation gives -4.644 eV/atom. As for the energy above the most stable polymorph in this dataset: 0.000 eV/f.u. The crystal system is monoclinic.


17.
VASP calculation (PBE) on a relaxed structure of PRu2Br.

Cell and atoms, written as POSCAR:
```
PRu2Br
1.0
2.9292 0.0000 0.0000
0.0000 5.4979 0.0000
0.0000 0.0000 4.0068
Br P Ru
1 1 2
Direct
0.5000 0.0000 0.5000
0.0000 0.5000 0.5000
0.0000 0.0000 0.0000
0.5000 0.5000 0.0000
```

For the electronic total energy, the calculation gives -5.654 eV/atom. As for the energy above the most stable polymorph in this dataset: 3.438 eV/f.u. The crystal system is orthorhombic.